# 1
Ni2Ag2Rh (GGA-PBE, optimized geometry); ΔE to the lowest computed polymorph = 0.752 eV per formula unit; N(E_F) = 8.166 states/eV/f.u.; E_tot = -4.385 eV/atom; formation energy from the elements = 0.54 eV/atom
1.0
7.388 0.000 0.000
0.000 7.388 0.000
0.000 0.000 2.754
Rh Ni Ag
2 4 4
direct
0.500 0.500 0.000 Rh
0.000 0.000 0.000 Rh
0.169 0.669 0.500 Ni
0.831 0.331 0.500 Ni
0.331 0.169 0.500 Ni
0.669 0.831 0.500 Ni
0.631 0.131 0.000 Ag
0.869 0.631 0.000 Ag
0.131 0.369 0.000 Ag
0.369 0.869 0.000 Ag

***

# 2
PSO (GGA-PBE, optimized geometry); ΔE to the lowest computed polymorph = 0.919 eV per formula unit; N(E_F) = 0.837 states/eV/f.u.; E_tot = -5.414 eV/atom
1.0
-1.510 0.812 1.882
-3.822 -0.174 -3.111
-0.124 -5.031 2.064
O P S
1 1 1
direct
0.778 0.104 0.602 O
0.285 0.327 0.630 P
0.291 0.464 0.035 S